1.
Here is an optimized crystal structure of YTe2Rh from Alexandria via LeMat-Bulk. Energies are from PBE.

Geometry as extended XYZ:
```
4
Lattice="5.366 0.000 0.000 0.000 3.980 0.000 -0.999 0.000 6.588" Properties=species:S:1:pos:R:3 pbc="T T T"
Y 0.000 0.000 0.000
Te 0.844 1.990 4.973
Te 3.523 1.990 1.615
Rh 2.683 0.000 0.000
```

Distance to the lowest polymorph of the same formula = 104 meV/atom

***

2.
Here is an optimized crystal structure of Sm12Ag6Ru from Alexandria via LeMat-Bulk. Energies are from PBE.

Geometry as extended XYZ:
```
19
Lattice="5.971 3.448 4.487 -5.971 3.448 4.487 0.000 -6.895 4.487" Properties=species:S:1:pos:R:3 pbc="T T T"
Sm -5.337 -1.427 7.514
Sm -1.432 -5.335 5.946
Sm -1.342 -1.635 5.009
Sm -3.904 3.908 5.946
Sm -0.745 1.980 5.009
Sm -2.087 0.345 8.450
Sm 2.087 -0.345 5.009
Sm 0.745 -1.980 8.450
Sm 3.904 -3.908 7.514
Sm 1.342 1.635 8.450
Sm 1.432 5.335 7.514
Sm 5.337 1.427 5.946
Ag -3.562 0.687 5.761
Ag -2.376 -2.741 7.699
Ag 1.186 -3.428 5.761
Ag -1.186 3.428 7.699
Ag 2.376 2.741 5.761
Ag 3.562 -0.687 7.699
Ru 0.000 0.000 6.730
```

ΔH_f (0 K) = -0.0941 eV per atom

***

3.
Here is an optimized crystal structure of Ti2MnPd2 from Alexandria via LeMat-Bulk. Energies are from PBE.

Geometry as extended XYZ:
```
10
Lattice="7.254 0.000 0.000 0.000 7.254 0.000 0.000 0.000 2.961" Properties=species:S:1:pos:R:3 pbc="T T T"
Ti 1.258 2.369 0.000
Ti 2.369 5.996 0.000
Ti 4.885 1.258 0.000
Ti 5.996 4.885 0.000
Mn 0.000 0.000 1.481
Mn 3.627 3.627 1.481
Pd 0.946 4.574 1.481
Pd 2.681 0.946 1.481
Pd 4.574 6.308 1.481
Pd 6.308 2.681 1.481
```

Distance to the lowest polymorph of the same formula = 53 meV/atom
ΔH_f (0 K) = -0.0390 eV per atom

***

4.
Here is an optimized crystal structure of NiTeAs from Alexandria via LeMat-Bulk. Energies are from PBE.

Geometry as extended XYZ:
```
12
Lattice="4.017 0.000 0.000 0.000 5.207 0.000 0.000 0.000 11.826" Properties=species:S:1:pos:R:3 pbc="T T T"
Ni 0.000 0.000 0.000
Ni 0.000 2.603 5.913
Ni 2.008 0.000 5.913
Ni 2.008 2.603 0.000
Te 0.000 0.000 7.621
Te 0.000 2.603 1.708
Te 2.008 0.000 1.708
Te 2.008 2.603 7.621
As 0.000 0.000 4.711
As 0.000 2.603 10.624
As 2.008 0.000 10.624
As 2.008 2.603 4.711
```

***

5.
Here is an optimized crystal structure of MnB2H8 from Alexandria via LeMat-Bulk. Energies are from PBE.

Geometry as extended XYZ:
```
99
Lattice="10.223 0.000 0.000 -5.112 8.854 0.000 0.000 0.000 10.810" Properties=species:S:1:pos:R:3 pbc="T T T"
Mn -1.998 3.858 3.128
Mn -2.770 5.194 7.682
Mn 1.551 0.895 5.405
Mn 1.998 3.858 0.475
Mn -0.771 8.655 10.335
Mn 2.770 5.194 6.732
Mn 0.771 8.655 4.078
Mn 8.673 0.895 9.008
Mn 5.112 7.063 1.802
B 0.000 0.739 7.207
B -4.471 8.484 3.603
B -2.216 4.623 5.405
B 0.000 3.667 1.802
B -1.936 7.020 9.008
B 2.890 1.668 0.000
B 3.818 0.109 5.231
B 2.003 3.252 5.579
B 2.216 4.623 9.008
B 0.000 8.462 1.802
B 1.936 7.020 5.405
B 6.405 0.109 9.182
B 3.297 5.493 1.628
B 7.334 1.668 3.603
B 5.112 5.517 7.207
B 4.471 8.484 0.000
B 8.220 3.252 8.834
B 6.926 5.493 1.976
H -0.475 0.851 10.700
H -4.612 8.017 0.110
H -1.478 2.793 9.849
H -3.432 6.178 0.960
H -0.228 1.464 6.237
H -3.957 7.924 4.573
H -0.967 2.932 1.599
H -3.056 6.550 9.211
H 0.475 0.851 3.713
H -4.137 8.840 7.097
H 0.228 1.464 8.176
H -3.730 8.319 2.634
H -1.176 3.989 8.298
H -2.245 5.841 2.512
H -1.135 4.236 4.952
H -2.011 5.753 5.858
H -0.091 4.407 2.789
H -1.341 6.571 8.021
H 0.091 4.407 0.814
H -1.250 6.729 9.996
H 0.967 2.932 2.004
H -2.089 8.225 8.806
H 2.672 0.574 0.514
H 1.833 2.027 10.296
H 1.478 2.793 4.564
H -1.954 8.737 6.246
H 1.176 3.989 6.115
H -1.069 7.877 4.694
H 1.135 4.236 9.461
H -0.876 7.718 1.349
H 3.261 0.834 4.398
H 2.353 2.407 6.412
H 3.739 1.671 9.911
H 3.316 2.403 0.899
H 4.569 0.348 2.619
H 2.586 3.783 8.191
H 1.341 6.571 6.392
H 1.250 6.729 4.417
H 4.826 0.707 5.614
H 3.025 3.826 5.196
H 2.011 5.753 8.555
H 0.876 7.718 2.255
H 2.245 5.841 1.091
H 1.069 7.877 9.719
H 5.397 0.707 8.799
H 3.311 4.321 2.011
H 5.654 0.348 0.984
H 3.128 4.723 9.826
H 3.056 6.550 5.203
H 2.089 8.225 5.607
H 3.432 6.178 2.643
H 1.954 8.737 8.167
H 6.963 0.834 10.015
H 4.204 5.613 0.795
H 6.484 1.671 4.502
H 4.689 4.780 6.308
H 7.551 0.574 3.089
H 4.273 6.253 7.721
H 6.907 2.403 2.704
H 5.534 4.780 8.106
H 3.957 7.924 9.840
H 3.730 8.319 0.970
H 4.612 8.017 3.494
H 4.137 8.840 7.316
H 7.871 2.407 8.001
H 6.020 5.613 2.809
H 7.198 3.826 9.218
H 6.912 4.321 1.592
H 8.390 2.027 4.117
H 5.951 6.253 6.693
H 7.638 3.783 6.222
H 7.095 4.723 4.588
```

Distance to the lowest polymorph of the same formula = 0 meV/atom

***

6.
Here is an optimized crystal structure of ZrCo4Hg from Alexandria via LeMat-Bulk. Energies are from PBE.

Geometry as extended XYZ:
```
6
Lattice="0.000 3.464 3.464 3.464 0.000 3.464 3.464 3.464 0.000" Properties=species:S:1:pos:R:3 pbc="T T T"
Zr 0.000 0.000 0.000
Co 2.598 2.598 2.598
Co 4.329 4.329 2.598
Co 4.329 2.598 4.329
Co 2.598 4.329 4.329
Hg 5.195 5.195 5.195
```

ΔH_f (0 K) = -0.1068 eV per atom

***

Sequential DFT total energy output: -0.2107 -0.1640 -0.2612 -0.1619 -0.1668 -0.2322 hartree per atom